[1]
Compound: BeCrAgAs2
Source: the Alexandria database
Functional: PBE-GGA
Structure: relaxed

It has space group P4/mmm (No. 123), with a = 4.515 Å, b = 4.515 Å, c = 5.148 Å, α = 90.00°, β = 90.00° and γ = 90.00°. The asymmetric unit holds Be at (0.000, 0.000, 0.000), Cr at (0.500, 0.500, 0.500), Ag at (0.500, 0.500, 0.000) and As at (0.000, 0.500, 0.500).

For the energy relative to the elements, the calculation gives 0.874 eV per atom. Its calculated total energy is -0.155 hartree per atom.



[2]
Compound: K2CaSc
Source: the Alexandria database
Functional: PBE-GGA
Structure: relaxed

It has space group P4/mmm (No. 123), with a = 6.409 Å, b = 6.409 Å, c = 4.513 Å, α = 90.00°, β = 90.00° and γ = 90.00°. The asymmetric unit holds K at (0.000, 0.500, 0.000), Ca at (0.000, 0.000, 0.500) and Sc at (0.500, 0.500, 0.500).

For the energy relative to the elements, the calculation gives 0.647 eV per atom. As for the relative energy among the computed polymorphs: 0.310 eV per atom. Its calculated total energy is -0.073 hartree per atom.



[3]
Compound: PrEuIrPt
Source: the Alexandria database
Functional: PBE-GGA
Structure: relaxed

It has space group F-43m (No. 216), with a = 7.151 Å, b = 7.151 Å, c = 7.151 Å, α = 90.00°, β = 90.00° and γ = 90.00°. The asymmetric unit holds Pr at (0.000, 0.000, 0.000), Eu at (0.000, 0.000, 0.500), Ir at (0.250, 0.250, 0.750) and Pt at (0.250, 0.250, 0.250).

For the energy relative to the elements, the calculation gives -0.665 eV per atom. Its calculated total energy is -0.300 hartree per atom.



[4]
Compound: Os2RuW
Source: the Alexandria database
Functional: PBE-GGA
Structure: relaxed

It has space group F-43m (No. 216), with a = 6.217 Å, b = 6.217 Å, c = 6.217 Å, α = 90.00°, β = 90.00° and γ = 90.00°. The asymmetric unit holds Os at (0.000, 0.000, 0.000), Os at (0.250, 0.250, 0.250), Ru at (0.000, 0.000, 0.500) and W at (0.250, 0.250, 0.750).

For the energy relative to the elements, the calculation gives 0.544 eV per atom. As for the relative energy among the computed polymorphs: 0.551 eV per atom. Its calculated total energy is -0.391 hartree per atom.



[5]
Compound: Tb3Nd6HoTm2
Source: the Alexandria database
Functional: PBE-GGA
Structure: relaxed

It has space group C2/m (No. 12), with a = 6.264 Å, b = 10.849 Å, c = 11.833 Å, α = 90.00°, β = 100.13° and γ = 90.00°. The asymmetric unit holds Tb at (0.000, 0.000, 0.000), Tb at (0.000, 0.333, 0.000), Nd at (0.250, 0.000, 0.748), Nd at (0.250, 0.167, 0.252), Ho at (0.000, 0.500, 0.500) and Tm at (0.000, 0.167, 0.500).

For the energy relative to the elements, the calculation gives 0.013 eV per atom. Its calculated total energy is -0.171 hartree per atom.



[6]
Compound: BaCe2PaN4
Source: the Alexandria database
Functional: PBE-GGA
Structure: relaxed

It has space group Cmcm (No. 63), with a = 3.679 Å, b = 12.841 Å, c = 12.719 Å, α = 90.00°, β = 90.00° and γ = 90.00°. The asymmetric unit holds Ba at (0.000, 0.154, 0.250), Ce at (0.000, 0.369, 0.016), Pa at (0.000, 0.115, 0.750), N at (0.000, 0.000, 0.000), N at (0.000, 0.230, 0.613) and N at (0.000, 0.478, 0.250).

For the formation energy without anion corrections, the calculation gives -1.06 eV per atom. Its calculated total energy is -0.299 hartree per atom.



[7]
Compound: LiTmInNi
Source: the Alexandria database
Functional: PBE-GGA
Structure: relaxed

It has space group F-43m (No. 216), with a = 6.578 Å, b = 6.578 Å, c = 6.578 Å, α = 90.00°, β = 90.00° and γ = 90.00°. The asymmetric unit holds Li at (0.000, 0.000, 0.000), Tm at (0.250, 0.250, 0.750), In at (0.250, 0.250, 0.250) and Ni at (0.000, 0.000, 0.500).

For the energy relative to the elements, the calculation gives -0.373 eV per atom. Its calculated total energy is -0.151 hartree per atom.



[8]
Compound: ScCd
Source: the Alexandria database
Functional: PBE-GGA
Structure: relaxed

It has space group P-3m1 (No. 164), with a = 3.2853 Å, b = 3.2853 Å, c = 10.0914 Å, α = 90.00°, β = 90.00° and γ = 120.00°. The asymmetric unit holds Sc at (0.3333, 0.6667, 0.3726) and Cd at (0.3333, 0.6667, 0.8743).

For the energy relative to the elements, the calculation gives -0.069 eV per atom. Its calculated total energy is -0.136 hartree per atom.



no.,total moment (μB/f.u.)
1,1.1
2,1.5
3,6.7
4,1.4
5,0.0
6,2.2
7,0.0
8,0.0